Here is a geometry-optimized Y2ScAg3Te6 structure from the Alexandria database. Energies are from GGA-PBE.

Calculated values
Formation energy from raw total energies: -809 meV per atom
Total magnetic moment: 0.000 μB/f.u.

Lattice parameters (Å, degrees): 19.5119 4.3079 8.4490 90.00 103.73 90.00
Last column: nearest neighbours and their distance in Å.
Space group C2/m (No. 12)
Asymmetric unit:
Y 0.1729 0.0000 0.3037 (multiplicity 4)  6 Te 3.09-3.15
Sc 0.0000 0.5000 0.0000 (multiplicity 2)  6 Te 2.97-2.98
Ag 0.0000 0.5000 0.5000 (multiplicity 2)  6 Te 3.07-3.08
Ag 0.2017 0.0000 0.7940 (multiplicity 4)  3 Te 2.82-2.88
Te 0.0107 0.0000 0.2463 (multiplicity 4)  2 Sc 2.97, 2 Ag 3.08, 1 Y 3.09
Te 0.1554 0.5000 0.0329 (multiplicity 4)  1 Ag 2.82, 1 Sc 2.98, 2 Y 3.10
Te 0.1618 0.5000 0.5649 (multiplicity 4)  3 Ag 2.88-3.07, 3 Y 3.13-3.15